No. 1
! CrAgIr2, optimized geometry, DFT GGA-PBE; values from VASP
! DFT total energy, eV for the cell shown: -28.5
! Offset from the most stable computed form, eV per atom: 0.387
! DFT formation energy, eV/atom: 0.427
! DOS(E_F), states/eV per cell: 5.53
! Volume, A^3/atom: 14.98
&SYSTEM
  ibrav = 0, nat = 4, ntyp = 3
/
ATOMIC_SPECIES
Cr 52.00 Cr.upf
Ir 192.22 Ir.upf
Ag 107.87 Ag.upf
ATOMIC_POSITIONS crystal
Cr 0.500 0.500 0.765
Ir 0.500 0.500 0.241
Ir 0.000 0.000 0.986
Ag 0.000 0.000 0.508
CELL_PARAMETERS angstrom
2.688 -0.002 0.000
-1.283 2.363 0.000
0.000 0.000 9.438

No. 2
! Cr2AgIr, optimized geometry, DFT GGA-PBE; values from VASP
! DFT total energy, eV for the cell shown: -29.6
! DFT formation energy, eV/atom: 0.329
! DOS(E_F), states/eV per cell: 5.41
! Volume, A^3/atom: 14.70
&SYSTEM
  ibrav = 0, nat = 4, ntyp = 3
/
ATOMIC_SPECIES
Ir 192.22 Ir.upf
Ag 107.87 Ag.upf
Cr 52.00 Cr.upf
ATOMIC_POSITIONS crystal
Ir 0.500 0.500 0.000
Ag 0.750 0.250 0.500
Cr 0.000 0.000 0.000
Cr 0.250 0.750 0.500
CELL_PARAMETERS angstrom
-1.994 -4.302 -0.442
3.336 -3.357 0.530
-1.155 3.775 2.663

No. 3
! CrAgIr2, optimized geometry, DFT GGA-PBE; values from VASP
! DFT total energy, eV for the cell shown: -29.4
! Offset from the most stable computed form, eV per atom: 0.155
! DFT formation energy, eV/atom: 0.195
! DOS(E_F), states/eV per cell: 3.76
! Volume, A^3/atom: 14.89
&SYSTEM
  ibrav = 0, nat = 4, ntyp = 3
/
ATOMIC_SPECIES
Cr 52.00 Cr.upf
Ir 192.22 Ir.upf
Ag 107.87 Ag.upf
ATOMIC_POSITIONS crystal
Cr 0.250 0.250 0.250
Ir 0.516 0.516 0.484
Ir 0.984 0.984 0.016
Ag 0.750 0.750 0.750
CELL_PARAMETERS angstrom
4.818 -0.010 0.037
4.020 2.655 0.037
0.990 0.296 4.649

No. 4
! CrAgIr2, optimized geometry, DFT GGA-PBE; values from VASP
! DFT total energy, eV for the cell shown: -29.1
! Offset from the most stable computed form, eV per atom: 0.223
! DFT formation energy, eV/atom: 0.263
! DOS(E_F), states/eV per cell: 4.46
! Volume, A^3/atom: 15.10
&SYSTEM
  ibrav = 0, nat = 4, ntyp = 3
/
ATOMIC_SPECIES
Cr 52.00 Cr.upf
Ag 107.87 Ag.upf
Ir 192.22 Ir.upf
ATOMIC_POSITIONS crystal
Cr 0.500 0.500 0.771
Ag 0.000 0.000 0.505
Ir 0.500 0.500 0.233
Ir 0.000 0.000 0.992
CELL_PARAMETERS angstrom
-1.666 1.597 -1.511
-1.427 -2.228 -0.781
-4.813 0.891 6.248

No. 5
! Cr2AgIr, optimized geometry, DFT GGA-PBE; values from VASP
! DFT total energy, eV for the cell shown: -29.9
! DFT formation energy, eV/atom: 0.271
! DOS(E_F), states/eV per cell: 3.77
! Volume, A^3/atom: 14.67
&SYSTEM
  ibrav = 0, nat = 4, ntyp = 3
/
ATOMIC_SPECIES
Cr 52.00 Cr.upf
Ir 192.22 Ir.upf
Ag 107.87 Ag.upf
ATOMIC_POSITIONS crystal
Cr 0.019 0.019 0.992
Cr 0.744 0.744 0.735
Ir 0.484 0.484 0.538
Ag 0.253 0.253 0.236
CELL_PARAMETERS angstrom
-3.645 1.845 -2.521
-1.969 0.488 -4.351
-3.124 -3.483 -0.281

No. 6
! Cr2AgIr, optimized geometry, DFT GGA-PBE; values from VASP
! DFT total energy, eV for the cell shown: -29.8
! DFT formation energy, eV/atom: 0.280
! DOS(E_F), states/eV per cell: 3.44
! Volume, A^3/atom: 14.30
&SYSTEM
  ibrav = 0, nat = 4, ntyp = 3
/
ATOMIC_SPECIES
Cr 52.00 Cr.upf
Ag 107.87 Ag.upf
Ir 192.22 Ir.upf
ATOMIC_POSITIONS crystal
Cr 0.986 0.986 0.986
Cr 0.257 0.257 0.257
Ag 0.747 0.747 0.747
Ir 0.510 0.510 0.510
CELL_PARAMETERS angstrom
-8.342 1.177 -2.095
-8.504 -1.396 -1.046
-8.619 0.808 0.649

No. 7
! CrAgIr2, optimized geometry, DFT GGA-PBE; values from VASP
! DFT total energy, eV for the cell shown: -29.2
! Offset from the most stable computed form, eV per atom: 0.197
! DFT formation energy, eV/atom: 0.238
! DOS(E_F), states/eV per cell: 5.54
! Volume, A^3/atom: 15.08
&SYSTEM
  ibrav = 0, nat = 4, ntyp = 3
/
ATOMIC_SPECIES
Cr 52.00 Cr.upf
Ir 192.22 Ir.upf
Ag 107.87 Ag.upf
ATOMIC_POSITIONS crystal
Cr 0.500 0.500 0.750
Ir 0.000 0.000 0.525
Ir 0.000 0.000 0.975
Ag 0.500 0.500 0.250
CELL_PARAMETERS angstrom
-2.313 -0.460 -1.357
2.332 -0.861 -1.106
-0.934 -8.110 4.342

No. 8
! CrAgIr2, optimized geometry, DFT GGA-PBE; values from VASP
! DFT total energy, eV for the cell shown: -28.6
! Offset from the most stable computed form, eV per atom: 0.350
! DFT formation energy, eV/atom: 0.390
! DOS(E_F), states/eV per cell: 4.84
! Volume, A^3/atom: 15.33
&SYSTEM
  ibrav = 0, nat = 4, ntyp = 3
/
ATOMIC_SPECIES
Ir 192.22 Ir.upf
Cr 52.00 Cr.upf
Ag 107.87 Ag.upf
ATOMIC_POSITIONS crystal
Ir 0.767 0.267 0.500
Ir 0.007 0.007 0.000
Cr 0.230 0.730 0.500
Ag 0.496 0.496 0.000
CELL_PARAMETERS angstrom
-3.733 -3.169 -2.380
1.192 -5.139 -1.347
-0.608 3.867 3.784

No. 9
! CrAgIr2, optimized geometry, DFT GGA-PBE; values from VASP
! DFT total energy, eV for the cell shown: -29.9
! Offset from the most stable computed form, eV per atom: 0.026
! DFT formation energy, eV/atom: 0.067
! DOS(E_F), states/eV per cell: 5.58
! Volume, A^3/atom: 14.67
&SYSTEM
  ibrav = 0, nat = 4, ntyp = 3
/
ATOMIC_SPECIES
Cr 52.00 Cr.upf
Ir 192.22 Ir.upf
Ag 107.87 Ag.upf
ATOMIC_POSITIONS crystal
Cr 0.500 0.500 0.750
Ir 0.000 0.000 0.533
Ir 0.000 0.000 0.967
Ag 0.500 0.500 0.250
CELL_PARAMETERS angstrom
-1.286 2.309 -0.739
-2.074 -1.481 -1.019
-3.565 0.229 6.922

No. 10
! Cr2AgIr, optimized geometry, DFT GGA-PBE; values from VASP
! DFT total energy, eV for the cell shown: -29.8
! DFT formation energy, eV/atom: 0.284
! DOS(E_F), states/eV per cell: 4.66
! Volume, A^3/atom: 14.18
&SYSTEM
  ibrav = 0, nat = 4, ntyp = 3
/
ATOMIC_SPECIES
Ag 107.87 Ag.upf
Cr 52.00 Cr.upf
Ir 192.22 Ir.upf
ATOMIC_POSITIONS crystal
Ag 0.500 0.750 0.750
Cr 0.000 0.959 0.042
Cr 0.000 0.541 0.458
Ir 0.500 0.250 0.250
CELL_PARAMETERS angstrom
-3.833 0.028 -0.198
-0.137 -0.982 2.512
-0.203 4.114 4.502

No. 11
! CrAgIr2, optimized geometry, DFT GGA-PBE; values from VASP
! DFT total energy, eV for the cell shown: -29.1
! Offset from the most stable computed form, eV per atom: 0.225
! DFT formation energy, eV/atom: 0.266
! DOS(E_F), states/eV per cell: 4.64
! Volume, A^3/atom: 14.78
&SYSTEM
  ibrav = 0, nat = 4, ntyp = 3
/
ATOMIC_SPECIES
Ir 192.22 Ir.upf
Ag 107.87 Ag.upf
Cr 52.00 Cr.upf
ATOMIC_POSITIONS crystal
Ir 0.000 0.000 0.000
Ir 0.500 0.500 0.000
Ag 0.250 0.750 0.500
Cr 0.750 0.250 0.500
CELL_PARAMETERS angstrom
-2.016 3.899 1.842
-4.594 -0.889 0.874
3.956 -2.369 1.183

No. 12
! CrAgIr2, optimized geometry, DFT GGA-PBE; values from VASP
! DFT total energy, eV for the cell shown: -28.2
! Offset from the most stable computed form, eV per atom: 0.465
! DFT formation energy, eV/atom: 0.505
! DOS(E_F), states/eV per cell: 7.67
! Volume, A^3/atom: 15.37
&SYSTEM
  ibrav = 0, nat = 4, ntyp = 3
/
ATOMIC_SPECIES
Ir 192.22 Ir.upf
Ag 107.87 Ag.upf
Cr 52.00 Cr.upf
ATOMIC_POSITIONS crystal
Ir 0.000 0.000 0.000
Ir 0.250 0.250 0.250
Ag 0.500 0.500 0.500
Cr 0.750 0.750 0.750
CELL_PARAMETERS angstrom
-0.940 -4.324 0.212
2.208 -2.611 2.817
-2.052 -1.648 3.564

- What is the DFT total energy in the third record?
  -29.4 eV for the cell shown